Here is an optimized crystal structure of BPtAu from Alexandria via LeMat-Bulk. Energies are from GGA-PBE.

```
data_BPtAu
_chemical_formula_sum 'B4 Pt4 Au4'
_symmetry_space_group_name_H-M 'P 1'
_symmetry_Int_Tables_number 1
_cell_length_a 5.277
_cell_length_b 3.191
_cell_length_c 10.341
_cell_angle_alpha 90.00
_cell_angle_beta 90.61
_cell_angle_gamma 90.00
loop_
_symmetry_equiv_pos_as_xyz
'x,y,z'
loop_
_atom_site_label
_atom_site_type_symbol
_atom_site_fract_x
_atom_site_fract_y
_atom_site_fract_z
Au1 Au 0.968 0.000 0.012
B1 B 0.600 0.500 0.413
Pt1 Pt 0.335 0.500 0.869
Pt2 Pt 0.463 0.500 0.607
B2 B 0.497 0.000 0.744
B3 B 0.497 0.500 0.244
Pt3 Pt 0.335 0.000 0.369
Pt4 Pt 0.463 0.000 0.107
B4 B 0.600 0.000 0.913
Au2 Au 0.923 0.500 0.241
Au3 Au 0.968 0.500 0.512
Au4 Au 0.923 0.000 0.741
```

Computed properties:
**Formation energy from the elements**: 0.021 eV/atom
**DFT total energy**: -5.311 eV/atom
**SG**: No. 8
**Fermi-level density of states**: 0.802 states/eV/f.u.
**ρ**: 15.37 g/cm3

Here is an optimized crystal structure of BPt3Au from Alexandria via LeMat-Bulk. Energies are from GGA-PBE.

```
data_BPt3Au
_chemical_formula_sum 'B2 Pt6 Au2'
_symmetry_space_group_name_H-M 'P 1'
_symmetry_Int_Tables_number 1
_cell_length_a 5.124
_cell_length_b 5.124
_cell_length_c 7.533
_cell_angle_alpha 70.12
_cell_angle_beta 70.12
_cell_angle_gamma 90.00
loop_
_symmetry_equiv_pos_as_xyz
'x,y,z'
loop_
_atom_site_label
_atom_site_type_symbol
_atom_site_fract_x
_atom_site_fract_y
_atom_site_fract_z
Pt1 Pt 0.126 0.877 0.749
B1 B 0.000 0.000 0.000
Pt2 Pt 0.126 0.374 0.749
B2 B 0.250 0.750 0.500
Au1 Au 0.570 0.070 0.860
Pt3 Pt 0.686 0.686 0.627
Pt4 Pt 0.123 0.874 0.251
Au2 Au 0.930 0.430 0.140
Pt5 Pt 0.314 0.314 0.373
Pt6 Pt 0.626 0.874 0.251
```

Computed properties:
**Formation energy from the elements**: 0.305 eV/atom
**Offset from the most stable computed form**: 496 meV/atom
**DFT total energy**: -5.310 eV/atom
**SG**: No. 119
**Fermi-level density of states**: 2.332 states/eV/f.u.
**ρ**: 15.19 g/cm3

Here is an optimized crystal structure of BPtAu from Alexandria via LeMat-Bulk. Energies are from GGA-PBE.

```
data_BPtAu
_chemical_formula_sum 'B3 Pt3 Au3'
_symmetry_space_group_name_H-M 'P 1'
_symmetry_Int_Tables_number 1
_cell_length_a 3.116
_cell_length_b 3.116
_cell_length_c 15.060
_cell_angle_alpha 90.00
_cell_angle_beta 90.00
_cell_angle_gamma 120.00
loop_
_symmetry_equiv_pos_as_xyz
'x,y,z'
loop_
_atom_site_label
_atom_site_type_symbol
_atom_site_fract_x
_atom_site_fract_y
_atom_site_fract_z
Au1 Au 0.667 0.333 0.800
B1 B 0.000 0.000 0.240
B2 B 0.333 0.667 0.906
Au2 Au 0.000 0.000 0.467
Pt1 Pt 0.667 0.333 0.981
Pt2 Pt 0.333 0.667 0.314
B3 B 0.667 0.333 0.573
Pt3 Pt 0.000 0.000 0.647
Au3 Au 0.333 0.667 0.133
```

Computed properties:
**Formation energy from the elements**: 0.030 eV/atom
**DFT total energy**: -5.302 eV/atom
**SG**: No. 160
**Fermi-level density of states**: 0.807 states/eV/f.u.
**ρ**: 15.85 g/cm3

Here is an optimized crystal structure of BPtAu from Alexandria via LeMat-Bulk. Energies are from GGA-PBE.

```
data_BPtAu
_chemical_formula_sum 'B4 Pt4 Au4'
_symmetry_space_group_name_H-M 'P 1'
_symmetry_Int_Tables_number 1
_cell_length_a 7.154
_cell_length_b 3.165
_cell_length_c 10.422
_cell_angle_alpha 90.00
_cell_angle_beta 133.40
_cell_angle_gamma 90.00
loop_
_symmetry_equiv_pos_as_xyz
'x,y,z'
loop_
_atom_site_label
_atom_site_type_symbol
_atom_site_fract_x
_atom_site_fract_y
_atom_site_fract_z
B1 B 0.090 0.500 0.237
Au1 Au 0.940 0.500 0.954
Au2 Au 0.456 0.000 0.771
Pt1 Pt 0.830 0.000 0.139
B2 B 0.090 0.000 0.737
B3 B 0.557 0.000 0.164
Au3 Au 0.940 0.000 0.454
Pt2 Pt 0.830 0.500 0.639
Pt3 Pt 0.354 0.000 0.455
Pt4 Pt 0.354 0.500 0.955
Au4 Au 0.456 0.500 0.271
B4 B 0.557 0.500 0.664
```

Computed properties:
**Formation energy from the elements**: 0.035 eV/atom
**DFT total energy**: -5.297 eV/atom
**SG**: No. 8
**Fermi-level density of states**: 0.386 states/eV/f.u.
**ρ**: 15.61 g/cm3

Here is an optimized crystal structure of BPt3Au from Alexandria via LeMat-Bulk. Energies are from GGA-PBE.

```
data_BPt3Au
_chemical_formula_sum 'B1 Pt3 Au1'
_symmetry_space_group_name_H-M 'P 1'
_symmetry_Int_Tables_number 1
_cell_length_a 4.000
_cell_length_b 4.000
_cell_length_c 4.739
_cell_angle_alpha 90.00
_cell_angle_beta 90.00
_cell_angle_gamma 90.00
loop_
_symmetry_equiv_pos_as_xyz
'x,y,z'
loop_
_atom_site_label
_atom_site_type_symbol
_atom_site_fract_x
_atom_site_fract_y
_atom_site_fract_z
Pt1 Pt 0.500 0.000 0.295
B1 B 0.000 0.000 0.143
Pt2 Pt 0.000 0.000 0.719
Pt3 Pt 0.000 0.500 0.295
Au1 Au 0.500 0.500 0.813
```

Computed properties:
**Formation energy from the elements**: -0.066 eV/atom
**Offset from the most stable computed form**: 125 meV/atom
**DFT total energy**: -5.682 eV/atom
**SG**: No. 99
**Fermi-level density of states**: 1.231 states/eV/f.u.
**ρ**: 17.36 g/cm3

Here is an optimized crystal structure of BPt3Au from Alexandria via LeMat-Bulk. Energies are from GGA-PBE.

```
data_BPt3Au
_chemical_formula_sum 'B2 Pt6 Au2'
_symmetry_space_group_name_H-M 'P 1'
_symmetry_Int_Tables_number 1
_cell_length_a 5.691
_cell_length_b 5.545
_cell_length_c 5.691
_cell_angle_alpha 97.02
_cell_angle_beta 59.75
_cell_angle_gamma 82.48
loop_
_symmetry_equiv_pos_as_xyz
'x,y,z'
loop_
_atom_site_label
_atom_site_type_symbol
_atom_site_fract_x
_atom_site_fract_y
_atom_site_fract_z
Pt1 Pt 0.079 0.826 0.892
Au1 Au 0.579 0.825 0.891
Pt2 Pt 0.213 0.294 0.760
Pt3 Pt 0.210 0.293 0.263
Pt4 Pt 0.082 0.827 0.388
Au2 Au 0.712 0.295 0.761
B1 B 0.310 0.560 0.490
B2 B 0.981 0.560 0.161
Pt5 Pt 0.579 0.826 0.392
Pt6 Pt 0.713 0.294 0.260
```

Computed properties:
**Formation energy from the elements**: -0.186 eV/atom
**Offset from the most stable computed form**: 5 meV/atom
**DFT total energy**: -5.801 eV/atom
**SG**: No. 2
**Fermi-level density of states**: 1.657 states/eV/f.u.
**ρ**: 17.55 g/cm3

Here is an optimized crystal structure of BPt6Au2 from Alexandria via LeMat-Bulk. Energies are from GGA-PBE.

```
data_BPt6Au2
_chemical_formula_sum 'B1 Pt6 Au2'
_symmetry_space_group_name_H-M 'P 1'
_symmetry_Int_Tables_number 1
_cell_length_a 2.887
_cell_length_b 7.564
_cell_length_c 7.564
_cell_angle_alpha 120.00
_cell_angle_beta 90.00
_cell_angle_gamma 90.00
loop_
_symmetry_equiv_pos_as_xyz
'x,y,z'
loop_
_atom_site_label
_atom_site_type_symbol
_atom_site_fract_x
_atom_site_fract_y
_atom_site_fract_z
B1 B 0.000 0.000 0.000
Pt1 Pt 0.231 0.000 0.301
Pt2 Pt 0.231 0.301 0.000
Pt3 Pt 0.769 0.301 0.301
Pt4 Pt 0.769 0.000 0.699
Au1 Au 0.500 0.667 0.333
Pt5 Pt 0.769 0.699 0.000
Au2 Au 0.500 0.333 0.667
Pt6 Pt 0.231 0.699 0.699
```

Computed properties:
**Formation energy from the elements**: 0.223 eV/atom
**DFT total energy**: -5.275 eV/atom
**SG**: No. 162
**Fermi-level density of states**: 7.638 states/eV/f.u.
**ρ**: 18.28 g/cm3

Here is an optimized crystal structure of BPt3Au from Alexandria via LeMat-Bulk. Energies are from GGA-PBE.

```
data_BPt3Au
_chemical_formula_sum 'B2 Pt6 Au2'
_symmetry_space_group_name_H-M 'P 1'
_symmetry_Int_Tables_number 1
_cell_length_a 5.594
_cell_length_b 5.594
_cell_length_c 5.594
_cell_angle_alpha 69.89
_cell_angle_beta 69.89
_cell_angle_gamma 69.89
loop_
_symmetry_equiv_pos_as_xyz
'x,y,z'
loop_
_atom_site_label
_atom_site_type_symbol
_atom_site_fract_x
_atom_site_fract_y
_atom_site_fract_z
Pt1 Pt 0.311 0.704 0.210
Pt2 Pt 0.210 0.311 0.704
Pt3 Pt 0.811 0.710 0.204
Pt4 Pt 0.710 0.204 0.811
Pt5 Pt 0.204 0.811 0.710
B1 B 0.031 0.031 0.031
Au1 Au 0.225 0.225 0.225
Pt6 Pt 0.704 0.210 0.311
Au2 Au 0.725 0.725 0.725
B2 B 0.531 0.531 0.531
```

Computed properties:
**Formation energy from the elements**: -0.078 eV/atom
**Offset from the most stable computed form**: 113 meV/atom
**DFT total energy**: -5.694 eV/atom
**SG**: No. 161
**Fermi-level density of states**: 2.554 states/eV/f.u.
**ρ**: 17.65 g/cm3